Material: Pr4TlCdAg2
Method: DFT, GGA-PBE
State: relaxed

Calculated values
Theoretical density in g/cm³: 7.97
Magnetization in μB/cell: 1.2
Calculated formation energy in kcal/mol of atoms: -6.72

Structure (POSCAR):
```
Pr4TlCdAg2
1.0
5.440 0.000 0.000
2.720 4.711 0.000
2.720 1.570 8.912
Pr Tl Cd Ag
4 1 1 2
Direct
0.376 0.376 0.873 Pr
0.874 0.874 0.377 Pr
0.126 0.126 0.623 Pr
0.624 0.624 0.127 Pr
0.000 0.000 0.000 Tl
0.500 0.500 0.500 Cd
0.752 0.752 0.745 Ag
0.248 0.248 0.255 Ag
```